Below is Sr2NpBiO8 after structural relaxation, with properties calculated at the PBE level.

Values from the calculation:
Formation energy without anion corrections (meV/atom): -2168

Lattice parameters (Å, degrees): 3.6071 5.6438 9.2919 95.47 88.05 92.99
Last column: nearest neighbours and their distance in Å.
Positions (direct):
Bi: 0.0000 0.0000 0.5000  6 O 2.07-2.28
O: 0.4780 0.7687 0.5416  2 Bi 2.28, 1 Sr 2.50
Sr: 0.5095 0.4720 0.7241  7 O 2.42-2.70
O: 0.0229 0.7437 0.8538  1 Np 1.89
O: 0.9771 0.2563 0.1462  1 Np 1.89
O: 0.5433 0.8246 0.0669  1 Np 1.99
O: 0.4567 0.1754 0.9331  1 Np 1.99
O: 0.0114 0.8169 0.2963  1 Bi 2.07
O: 0.5220 0.2313 0.4584  2 Bi 2.28, 1 Sr 2.50
O: 0.9886 0.1831 0.7037  1 Bi 2.07
Sr: 0.4905 0.5280 0.2759  7 O 2.42-2.70
Np: 0.0000 0.0000 0.0000  4 O 1.89-1.99

Below is SrNi5 after structural relaxation, with properties calculated at the PBE level.

Values from the calculation:
Fermi-level density of states (states/eV/atom): 1.67
ΔE_f (meV/atom): 278

Lattice parameters (Å, degrees): 8.2046 8.2046 3.9800 90.00 90.00 160.66
Last column: nearest neighbours and their distance in Å.
Positions (direct):
Ni: 0.7141 0.2859 0.0000  4 Ni 2.39-2.40
Sr: 0.1018 0.8982 0.5000  2 Sr 2.76, 6 Ni 3.03-3.05
Ni: 0.4269 0.5731 0.5000  10 Ni 2.48-2.76
Ni: 0.3349 0.6651 0.0000  10 Ni 2.39-2.50
Ni: 0.7967 0.2033 0.5000  8 Ni 2.40-2.52
Ni: 0.9589 0.0411 0.0000  6 Ni 2.43-2.48

Below is PC after structural relaxation, with properties calculated at the PBE level.

Values from the calculation:
Fermi-level density of states (states/eV/atom): 0.50
ΔE_f (meV/atom): 1643

Lattice parameters (Å, degrees): 4.6227 4.6227 5.2177 90.00 90.00 120.00
Last column: nearest neighbours and their distance in Å.
Positions (direct):
C: 0.6667 0.3333 0.6275  1 C 1.28
C: 0.3333 0.6667 0.1275  1 C 1.28
C: 0.3333 0.6667 0.3725  1 C 1.28
P: 0.6667 0.3333 0.2500  2 C 1.97
P: 0.0000 0.0000 0.2500  5 P 2.61-2.67, 6 C 2.74
P: 0.3333 0.6667 0.7500  2 C 1.97
P: 0.0000 0.0000 0.7500  5 P 2.61-2.67, 6 C 2.74
C: 0.6667 0.3333 0.8725  1 C 1.28

Below is Tb2MgZn2Ni5 after structural relaxation, with properties calculated at the PBE level.

Values from the calculation:
Fermi-level density of states (states/eV/atom): 0.53
ΔE_f (meV/atom): -249

Lattice parameters (Å, degrees): 3.6288 9.3538 9.3538 90.00 90.00 90.00
Last column: nearest neighbours and their distance in Å.
Positions (direct):
Ni: 0.5000 0.9368 0.2137  2 Zn 2.46, 1 Ni 2.74
Ni: 0.5000 0.2863 0.5632  2 Zn 2.46, 1 Ni 2.74
Tb: 0.0000 0.6798 0.1798  3 Zn 2.70-2.83, 2 Ni 2.99
Mg: 0.0000 0.5000 0.5000  8 Ni 2.76
Zn: 0.0000 0.6162 0.8838  6 Ni 2.38-2.46
Tb: 0.0000 0.8202 0.6798  3 Zn 2.70-2.83, 2 Ni 2.99
Zn: 0.0000 0.8838 0.3838  6 Ni 2.38-2.46
Ni: 0.5000 0.0000 0.5000  4 Zn 2.38
Zn: 0.0000 0.1162 0.6162  6 Ni 2.38-2.46
Ni: 0.5000 0.7863 0.9368  2 Zn 2.46, 1 Ni 2.74
Ni: 0.5000 0.0632 0.7863  2 Zn 2.46, 1 Ni 2.74
Zn: 0.0000 0.3838 0.1162  6 Ni 2.38-2.46
Mg: 0.0000 0.0000 0.0000  8 Ni 2.76
Tb: 0.0000 0.1798 0.3202  3 Zn 2.70-2.83, 2 Ni 2.99
Ni: 0.5000 0.7137 0.4368  2 Zn 2.46, 1 Ni 2.74
Ni: 0.5000 0.4368 0.2863  2 Zn 2.46, 1 Ni 2.74
Ni: 0.5000 0.5000 0.0000  4 Zn 2.38
Ni: 0.5000 0.5632 0.7137  2 Zn 2.46, 1 Ni 2.74
Ni: 0.5000 0.2137 0.0632  2 Zn 2.46, 1 Ni 2.74
Tb: 0.0000 0.3202 0.8202  3 Zn 2.70-2.83, 2 Ni 2.99

no.,total DFT energy (no corrections) (eV per atom)
1,-7.155
2,-4.820
3,-5.674
4,-4.480